Entry 1:
The following is a DFT calculation (PBE) of crystalline Li4Cd3Pb2 at its relaxed geometry.

Results
ΔH_f (0 K): -0.224 eV/atom
Electronic total energy: -2.204 eV per atom
Size of the total moment: 0.00 μB per cell

Lattice parameters (Å, degrees): 9.1079 4.5921 9.1579 90.00 99.92 90.00
Space group C2/m (No. 12)
Inequivalent atoms, fractional coordinates:
Li 0.0212 0.0000 0.3326 [4 per cell]
Li 0.1421 0.5000 0.8807 [4 per cell]
Cd 0.0000 0.0000 0.0000 [2 per cell]
Cd 0.1575 0.5000 0.5558 [4 per cell]
Pb 0.1960 0.5000 0.2145 [4 per cell]

---

Entry 2:
The following is a DFT calculation (PBE) of crystalline Li14CdPb at its relaxed geometry.

Results
ΔH_f (0 K): -0.113 eV/atom
Electronic total energy: -2.077 eV per atom
Size of the total moment: 0.00 μB per cell

Lattice parameters (Å, degrees): 6.3137 9.8723 9.8723 90.00 90.00 90.00
Space group Amm2 (No. 38)
Inequivalent atoms, fractional coordinates:
Li 0.0000 0.0000 0.9996 [2 per cell]
Li 0.0000 0.0000 0.5000 [2 per cell]
Li 0.0000 0.2503 0.2494 [4 per cell]
Li 0.2605 0.0000 0.2479 [4 per cell]
Li 0.2610 0.2481 0.9994 [8 per cell]
Li 0.2616 0.0000 0.7517 [4 per cell]
Li 0.5000 0.2496 0.2494 [4 per cell]
Cd 0.5000 0.0000 0.0002 [2 per cell]
Pb 0.5000 0.0000 0.4996 [2 per cell]

---

Entry 3:
The following is a DFT calculation (PBE) of crystalline Li8Cd5Pb at its relaxed geometry.

Results
ΔH_f (0 K): -0.139 eV/atom
Electronic total energy: -1.824 eV per atom
Size of the total moment: 0.00 μB per cell

Lattice parameters (Å, degrees): 8.1230 8.1230 8.5915 90.00 90.00 90.00
Space group I-4 (No. 82)
Inequivalent atoms, fractional coordinates:
Li 0.0695 0.3317 0.0894 [8 per cell]
Li 0.1008 0.1740 0.7452 [8 per cell]
Cd 0.0000 0.0000 0.0000 [2 per cell]
Cd 0.1163 0.2103 0.4125 [8 per cell]
Pb 0.0000 0.5000 0.7500 [2 per cell]